Entry 1:
CoMo2Ir: optimized geometry, GGA-PBE.

abc: 4.326 4.326 4.326
angles: 60.00 60.00 60.00
Fractional coordinates of all 4 atoms:
Mo (0.750, 0.750, 0.750)
Mo (0.000, 0.000, 0.000)
Ir (0.250, 0.250, 0.250)
Co (0.500, 0.500, 0.500)

Calculated values
ΔE_f: 133 meV/atom
space group: F-43m, No. 216

---

Entry 2:
Cs2Ta2H2O7: optimized geometry, GGA-PBE.

abc: 5.612 18.464 9.469
angles: 90.00 90.00 90.00
Fractional coordinates of all 52 atoms:
O (0.207, 0.658, 0.054)
O (0.207, 0.842, 0.554)
O (0.784, 0.588, 0.937)
O (0.782, 0.862, 0.750)
O (0.207, 0.658, 0.446)
O (0.218, 0.362, 0.750)
O (0.216, 0.088, 0.563)
O (0.784, 0.588, 0.563)
O (0.793, 0.158, 0.054)
O (0.216, 0.412, 0.063)
O (0.207, 0.842, 0.946)
O (0.793, 0.342, 0.554)
O (0.793, 0.158, 0.446)
O (0.768, 0.750, 0.500)
O (0.869, 0.051, 0.750)
O (0.793, 0.342, 0.946)
O (0.768, 0.750, 0.000)
O (0.869, 0.449, 0.250)
O (0.784, 0.912, 0.063)
O (0.784, 0.912, 0.437)
O (0.232, 0.250, 0.500)
O (0.782, 0.638, 0.250)
O (0.218, 0.138, 0.250)
O (0.216, 0.088, 0.937)
O (0.131, 0.949, 0.250)
O (0.216, 0.412, 0.437)
O (0.232, 0.250, 0.000)
O (0.131, 0.551, 0.750)
Ta (0.113, 0.156, 0.441)
Ta (0.113, 0.156, 0.059)
Ta (0.887, 0.656, 0.059)
Ta (0.113, 0.344, 0.559)
Ta (0.887, 0.656, 0.441)
Ta (0.113, 0.344, 0.941)
Ta (0.887, 0.844, 0.941)
Ta (0.887, 0.844, 0.559)
H (0.976, 0.438, 0.169)
H (0.024, 0.938, 0.169)
H (0.024, 0.562, 0.669)
H (0.976, 0.062, 0.831)
H (0.976, 0.438, 0.331)
H (0.024, 0.938, 0.331)
H (0.024, 0.562, 0.831)
H (0.976, 0.062, 0.669)
Cs (0.596, 0.196, 0.750)
Cs (0.598, 0.028, 0.250)
Cs (0.402, 0.972, 0.750)
Cs (0.404, 0.804, 0.250)
Cs (0.402, 0.528, 0.250)
Cs (0.596, 0.304, 0.250)
Cs (0.404, 0.696, 0.750)
Cs (0.598, 0.472, 0.750)

Calculated values
final energy: -379.1 eV/cell
space group: Pbcm, No. 57

---

Entry 3:
ScNiPd2: optimized geometry, GGA-PBE.

abc: 4.430 4.430 4.430
angles: 60.00 60.00 60.00
Fractional coordinates of all 4 atoms:
Pd (0.500, 0.500, 0.500)
Pd (0.750, 0.750, 0.750)
Sc (0.000, 0.000, 0.000)
Ni (0.250, 0.250, 0.250)

Calculated values
ΔE_f: -534 meV/atom
space group: F-43m, No. 216

---

Entry 4:
AcGaIr: optimized geometry, GGA-PBE.

abc: 4.754 4.754 4.754
angles: 60.00 60.00 60.00
Fractional coordinates of all 3 atoms:
Ga (0.000, 0.000, 0.000)
Ac (0.250, 0.250, 0.250)
Ir (0.750, 0.750, 0.750)

Calculated values
ΔE to the lowest computed polymorph: 631 meV per atom
space group: F-43m, No. 216

---

Entry 5:
FeSiPtW: optimized geometry, GGA-PBE.

abc: 4.309 4.309 4.309
angles: 60.00 60.00 60.00
Fractional coordinates of all 4 atoms:
W (0.500, 0.500, 0.500)
Fe (0.750, 0.750, 0.750)
Pt (0.250, 0.250, 0.250)
Si (0.000, 0.000, 0.000)

Calculated values
ΔE to the lowest computed polymorph: 134 meV per atom
space group: F-43m, No. 216

---

Entry 6:
DySnAuS3: optimized geometry, GGA-PBE.

abc: 8.954 8.954 8.221
angles: 102.90 102.90 25.07
Fractional coordinates of all 12 atoms:
S (0.689, 0.689, 0.833)
S (0.000, 0.000, 0.500)
S (0.326, 0.326, 0.643)
S (0.674, 0.674, 0.357)
S (0.500, 0.500, 0.000)
S (0.311, 0.311, 0.167)
Dy (0.164, 0.164, 0.591)
Dy (0.836, 0.836, 0.409)
Au (0.458, 0.458, 0.276)
Au (0.542, 0.542, 0.724)
Sn (0.131, 0.131, 0.081)
Sn (0.869, 0.869, 0.919)

Calculated values
ΔE to the lowest computed polymorph: 114 meV per atom
space group: C2/m, No. 12

---

Copy entry 6 word for word.
DySnAuS3: optimized geometry, GGA-PBE.

abc: 8.954 8.954 8.221
angles: 102.90 102.90 25.07
Fractional coordinates of all 12 atoms:
S (0.689, 0.689, 0.833)
S (0.000, 0.000, 0.500)
S (0.326, 0.326, 0.643)
S (0.674, 0.674, 0.357)
S (0.500, 0.500, 0.000)
S (0.311, 0.311, 0.167)
Dy (0.164, 0.164, 0.591)
Dy (0.836, 0.836, 0.409)
Au (0.458, 0.458, 0.276)
Au (0.542, 0.542, 0.724)
Sn (0.131, 0.131, 0.081)
Sn (0.869, 0.869, 0.919)

Calculated values
ΔE to the lowest computed polymorph: 114 meV per atom
space group: C2/m, No. 12